Record 1
Computed, not measured: a relaxed CsLiRu2 crystal at the PBE level of DFT.

```
CsLiRu2
1.0
-0.086 2.322 3.465
1.210 -3.303 2.243
10.403 2.100 1.361
Cs Ru Li
2 4 2
Cartesian
0.000 0.000 0.000 Cs
5.440 1.966 3.840 Cs
2.708 1.301 2.395 Ru
3.336 -0.987 2.566 Ru
8.360 0.835 3.414 Ru
8.649 1.089 5.762 Ru
0.562 -0.491 2.854 Li
6.087 -0.847 3.229 Li
```

Summary:
The calculation puts the size of the total moment at 0.000 μB per formula unit. The formation energy from the elements comes out at 4.6 eV/f.u. The value obtained for the total energy is -4.18 eV per atom. As for the relative energy among the computed polymorphs: 0.00 eV/f.u.

Record 2
Computed, not measured: a relaxed TaNb2HOs crystal at the PBE level of DFT.

```
TaNb2HOs
1.0
-0.260 -2.916 -2.655
3.282 1.315 -1.765
2.538 -2.694 2.711
H Nb Os Ta
1 2 1 1
Cartesian
0.000 0.000 0.000 H
1.641 0.658 -0.883 Nb
-0.130 -1.458 -1.327 Nb
2.780 -2.147 -0.855 Os
1.269 -1.347 1.355 Ta
```

Summary:
The calculation puts the size of the total moment at 0.000 μB per formula unit. The value obtained for the total energy is -9.34 eV per atom. As for the relative energy among the computed polymorphs: 0.31 eV/f.u.

Record 3
Computed, not measured: a relaxed PtRh2Cl crystal at the PBE level of DFT.

```
PtRh2Cl
1.0
8.470 0.006 0.004
7.972 2.860 0.004
7.972 1.390 2.500
Cl Pt Rh
1 1 2
Cartesian
6.104 1.064 0.627 Cl
18.311 3.192 1.880 Pt
24.338 4.243 2.499 Rh
12.284 2.141 1.261 Rh
```

Summary:
The calculation puts the size of the total moment at 0.000 μB per formula unit. The value obtained for the total energy is -5.40 eV per atom. As for the relative energy among the computed polymorphs: 0.17 eV/f.u.

Record 4
Computed, not measured: a relaxed NaNdBN2 crystal at the PBE level of DFT.

```
NaNdBN2
1.0
-4.075 -0.565 -0.765
-0.336 -3.708 4.527
-1.512 6.327 3.379
Na Nd B N
2 2 2 4
Cartesian
-2.412 1.300 0.463 Na
-3.175 4.462 2.151 Na
-1.308 2.891 4.797 Nd
-4.615 -0.837 2.344 Nd
0.000 0.000 0.000 B
-0.756 3.164 1.690 B
-4.402 -3.201 2.948 N
-4.831 1.527 1.740 N
-1.092 0.527 5.401 N
-1.521 5.254 4.193 N
```

Summary:
The calculation puts the size of the total moment at 0.000 μB per formula unit. The value obtained for the total energy is -6.65 eV per atom.

Record 5
Computed, not measured: a relaxed TmAlZnIr crystal at the PBE level of DFT.

```
TmAlZnIr
1.0
-2.972 -1.781 -3.027
1.184 -3.681 -2.493
-1.970 -4.073 0.834
Zn Ir Tm Al
1 1 1 1
Cartesian
0.000 0.000 0.000 Zn
-1.879 -4.767 -2.343 Ir
-0.939 -2.384 -1.171 Tm
-2.818 -7.151 -3.514 Al
```

Summary:
The calculation puts the size of the total moment at 0.000 μB per formula unit. The formation energy from the elements comes out at -2.2 eV/f.u. The value obtained for the total energy is -5.14 eV per atom.

Record 6
Computed, not measured: a relaxed TcHg2As crystal at the PBE level of DFT.

```
TcHg2As
1.0
-2.348 2.683 1.402
1.146 -0.859 3.563
3.927 3.638 -0.386
As Hg Tc
1 2 1
Cartesian
2.344 3.641 2.194 As
0.014 0.013 -0.001 Hg
1.949 1.806 -0.192 Hg
0.381 1.821 2.386 Tc
```

Summary:
The calculation puts the size of the total moment at 1.166 μB per formula unit. The formation energy from the elements comes out at 2.6 eV/f.u. The value obtained for the total energy is -3.26 eV per atom.

Record 7
Computed, not measured: a relaxed TaFeRe2 crystal at the PBE level of DFT.

```
TaFeRe2
1.0
-9.109 1.081 0.852
-8.516 0.430 3.488
-8.285 3.060 2.620
Fe Re Ta
1 2 1
Cartesian
-19.343 3.412 5.196 Fe
-0.041 0.007 0.011 Re
-6.605 1.165 1.774 Re
-12.877 2.272 3.459 Ta
```

Summary:
The calculation puts the size of the total moment at 2.249 μB per formula unit. The formation energy from the elements comes out at 0.7 eV/f.u. The value obtained for the total energy is -11.12 eV per atom.

Record 8
Computed, not measured: a relaxed CaV3Hg crystal at the PBE level of DFT.

```
CaV3Hg
1.0
-5.059 -0.961 -0.229
0.865 -4.887 1.392
-0.477 1.328 4.958
Ca Hg V
1 1 3
Cartesian
-2.336 -2.260 3.061 Ca
0.000 0.000 0.000 Hg
0.432 -2.444 0.696 V
-0.238 0.664 2.479 V
-2.530 -0.480 -0.115 V
```

Summary:
The calculation puts the size of the total moment at 10.403 μB per formula unit. The formation energy from the elements comes out at 6.7 eV/f.u. The value obtained for the total energy is -4.60 eV per atom. As for the relative energy among the computed polymorphs: 0.00 eV/f.u.

Record 9
Computed, not measured: a relaxed NdHPb crystal at the PBE level of DFT.

```
NdHPb
1.0
3.791 0.000 0.000
1.895 3.246 -0.470
1.895 -1.596 11.663
Nd H Pb
2 2 2
Cartesian
3.791 -0.481 4.234 Nd
3.791 2.130 6.959 Nd
3.791 -0.141 6.541 H
3.791 1.791 4.652 H
1.895 0.232 1.494 Pb
5.686 1.418 9.699 Pb
```

Summary:
The calculation puts the size of the total moment at 0.000 μB per formula unit. The value obtained for the total energy is -4.29 eV per atom. As for the relative energy among the computed polymorphs: 0.50 eV/f.u.

Record 10
Computed, not measured: a relaxed Pm2PrSmH crystal at the PBE level of DFT.

```
Pm2PrSmH
1.0
-4.032 -0.661 -3.135
-1.629 -3.916 2.921
-2.759 3.278 2.857
Pm Pr Sm H
2 1 1 1
Cartesian
-1.379 1.639 1.428 Pm
-0.814 -1.958 1.460 Pm
-4.209 -0.650 1.321 Pr
-2.016 -0.331 -1.567 Sm
0.000 0.000 0.000 H
```

Summary:
The calculation puts the size of the total moment at 0.000 μB per formula unit. The value obtained for the total energy is -4.65 eV per atom.

Record 11
Computed, not measured: a relaxed BaY2TlCu crystal at the PBE level of DFT.

```
BaY2TlCu
1.0
-2.124 4.429 3.296
2.710 -1.684 4.010
4.549 3.405 -1.644
Y Tl Ba Cu
2 1 1 1
Cartesian
2.275 1.703 -0.822 Y
-1.062 2.215 1.648 Y
0.000 0.000 0.000 Tl
2.568 3.075 2.831 Ba
1.355 -0.842 2.005 Cu
```

Summary:
The calculation puts the size of the total moment at 0.003 μB per formula unit. The formation energy from the elements comes out at 2.1 eV/f.u. The value obtained for the total energy is -3.85 eV per atom. As for the relative energy among the computed polymorphs: 0.00 eV/f.u.